Here is Li2BeTc after structural relaxation from the Alexandria database. Energies are from PBE.

Output
volume: 11.95 Å³/atom
DOS at the Fermi energy: 0.71 states/eV/atom
energy relative to the lowest polymorph listed for this composition: 0.442 eV/atom
formation energy from the elements: 586 meV per atom

Lattice parameters (Å, degrees): 5.761 5.761 5.761 90.00 90.00 90.00
Space group Fm-3m (No. 225)
Asymmetric unit:
Li 0.250 0.250 0.250 [8 per cell]
Be 0.000 0.000 0.000 [4 per cell]
Tc 0.000 0.000 0.500 [4 per cell]


Here is LiBeTc2 after structural relaxation from the Alexandria database. Energies are from PBE.

Output
volume: 13.24 Å³/atom
DOS at the Fermi energy: 1.16 states/eV/atom
energy relative to the lowest polymorph listed for this composition: 0.121 eV/atom
formation energy from the elements: 154 meV per atom

Lattice parameters (Å, degrees): 2.973 2.973 5.991 90.00 90.00 90.00
Space group P4mm (No. 99)
Asymmetric unit:
Li 0.000 0.000 0.000 [1 per cell]
Be 0.500 0.500 0.766 [1 per cell]
Tc 0.000 0.000 0.535 [1 per cell]
Tc 0.500 0.500 0.300 [1 per cell]


Here is LiBe2Tc2 after structural relaxation from the Alexandria database. Energies are from PBE.

Output
volume: 11.15 Å³/atom
DOS at the Fermi energy: 0.77 states/eV/atom
formation energy from the elements: 41 meV per atom

Lattice parameters (Å, degrees): 5.932 5.932 3.168 90.00 90.00 90.00
Space group P4/mbm (No. 127)
Asymmetric unit:
Li 0.000 0.000 0.000 [2 per cell]
Be 0.123 0.377 0.000 [4 per cell]
Tc 0.172 0.672 0.500 [4 per cell]


Here is LiBeTc2 after structural relaxation from the Alexandria database. Energies are from PBE.

Output
volume: 13.06 Å³/atom
DOS at the Fermi energy: 0.60 states/eV/atom
energy relative to the lowest polymorph listed for this composition: 0.116 eV/atom
formation energy from the elements: 150 meV per atom

Lattice parameters (Å, degrees): 3.195 3.918 8.348 90.00 90.00 90.00
Space group Cmmm (No. 65)
Asymmetric unit:
Li 0.000 0.000 0.000 [2 per cell]
Be 0.000 0.000 0.500 [2 per cell]
Tc 0.000 0.500 0.276 [4 per cell]


Here is Li2BeTc after structural relaxation from the Alexandria database. Energies are from PBE.

Output
volume: 12.69 Å³/atom
DOS at the Fermi energy: 0.49 states/eV/atom
energy relative to the lowest polymorph listed for this composition: 0.159 eV/atom
formation energy from the elements: 303 meV per atom

Lattice parameters (Å, degrees): 2.469 4.603 8.933 90.00 90.00 90.00
Space group Imm2 (No. 44)
Asymmetric unit:
Li 0.000 0.000 0.000 [2 per cell]
Li 0.000 0.500 0.245 [2 per cell]
Be 0.000 0.000 0.511 [2 per cell]
Tc 0.000 0.500 0.785 [2 per cell]


Here is Li2BeTc after structural relaxation from the Alexandria database. Energies are from PBE.

Output
volume: 12.11 Å³/atom
DOS at the Fermi energy: 0.53 states/eV/atom
energy relative to the lowest polymorph listed for this composition: 0.085 eV/atom
formation energy from the elements: 229 meV per atom

Lattice parameters (Å, degrees): 3.325 3.325 4.381 90.00 90.00 90.00
Space group P4/mmm (No. 123)
Asymmetric unit:
Li 0.000 0.500 0.000 [2 per cell]
Be 0.000 0.000 0.500 [1 per cell]
Tc 0.500 0.500 0.500 [1 per cell]


Here is Li2BeTc after structural relaxation from the Alexandria database. Energies are from PBE.

Output
volume: 12.25 Å³/atom
DOS at the Fermi energy: 0.68 states/eV/atom
energy relative to the lowest polymorph listed for this composition: 0.392 eV/atom
formation energy from the elements: 536 meV per atom

Lattice parameters (Å, degrees): 4.433 4.433 2.493 90.00 90.00 90.00
Space group P4/mmm (No. 123)
Asymmetric unit:
Li 0.000 0.500 0.000 [2 per cell]
Be 0.000 0.000 0.500 [1 per cell]
Tc 0.500 0.500 0.500 [1 per cell]


Here is Li2BeTc after structural relaxation from the Alexandria database. Energies are from PBE.

Output
volume: 13.99 Å³/atom
DOS at the Fermi energy: 1.09 states/eV/atom
energy relative to the lowest polymorph listed for this composition: 0.098 eV/atom
formation energy from the elements: 242 meV per atom

Lattice parameters (Å, degrees): 2.6737 2.6737 27.1138 90.00 90.00 120.00
Space group R3m (No. 160, hexagonal axes)
Asymmetric unit:
Li 0.0000 0.0000 0.0000 [3 per cell]
Li 0.0000 0.0000 0.2384 [3 per cell]
Be 0.0000 0.0000 0.7486 [3 per cell]
Tc 0.0000 0.0000 0.4859 [3 per cell]


The records above give, respectively, magnetization values of 1.540, 0.414, 0.000, 0.000, 0.000, 0.680, 0.001, 0.228 μB/f.u..